Material: PmGa2Ni
Method: DFT, PBE
State: optimized geometry

Computed properties:
* energy above the most stable polymorph in this dataset: 0.0 meV per atom
* space group: Cmmm (65)
* size of the total moment: 0.0 μB per formula unit
* formation energy from the elements: -2.54 eV/f.u.
* final energy: -4.7825 eV per atom

Cell: 4.1162 4.2052 9.0414 Å, 103.45 90.00 90.00°
Closest atoms and distances in Å follow each position.
Positions (direct):
Ga1 0.5000 0.0000 0.0000  4 Ni 2.47
Ga2 0.0000 0.5000 0.0000  4 Ni 2.44
Ga3 0.5000 0.2908 0.5817  1 Ni 2.38, 2 Ga 2.55
Ga4 0.5000 0.7092 0.4183  1 Ni 2.38, 2 Ga 2.55
Pm1 0.0000 0.1408 0.2815  4 Ni 3.17, 10 Ga 3.18-3.35
Pm2 0.0000 0.8592 0.7185  4 Ni 3.17, 10 Ga 3.18-3.35
Ni1 0.5000 0.5740 0.1480  5 Ga 2.38-2.47, 1 Ni 2.60
Ni2 0.5000 0.4260 0.8520  5 Ga 2.38-2.47, 1 Ni 2.60